1.
## GeBC2 (GGA-PBE)

Data for a relaxed structure of GeBC2.

CIF file:
```
data_GeBC2
_chemical_formula_sum 'Ge4 B4 C8'
_cell_length_a 5.2538
_cell_length_b 5.2538
_cell_length_c 5.2538
_cell_angle_alpha 90.00
_cell_angle_beta 90.00
_cell_angle_gamma 90.00
_symmetry_space_group_name_H-M 'F m -3 m'
_symmetry_Int_Tables_number 225
_symmetry_space_group_name_Hall '-F 4 2 3'
loop_
_atom_site_label
_atom_site_type_symbol
_atom_site_fract_x
_atom_site_fract_y
_atom_site_fract_z
_atom_site_occupancy
Ge1 Ge 0.0000 0.0000 0.0000 1
B1 B 0.0000 0.0000 0.5000 1
C1 C 0.2500 0.2500 0.2500 1
```

Computed properties:
Fermi-level density of states ... 6.502 states/eV per cell
Magnetization ... 0.00 Bohr magnetons per cell
Final energy ... -4.74 eV per atom
Calculated volume ... 145.0 Å³ per cell
Polymorph energy (0 for the lowest one) ... 2.119 eV/atom
E_form ... 1040 kJ/mol of formula units


2.
## GeBC2 (GGA-PBE)

Data for a relaxed structure of GeBC2.

CIF file:
```
data_GeBC2
_chemical_formula_sum 'Ge4 B4 C8'
_cell_length_a 4.2295
_cell_length_b 4.2295
_cell_length_c 8.2863
_cell_angle_alpha 90.00
_cell_angle_beta 90.00
_cell_angle_gamma 90.00
_symmetry_space_group_name_H-M 'I -4 2 d'
_symmetry_Int_Tables_number 122
_symmetry_space_group_name_Hall 'I -4 2bw'
loop_
_atom_site_label
_atom_site_type_symbol
_atom_site_fract_x
_atom_site_fract_y
_atom_site_fract_z
_atom_site_occupancy
Ge1 Ge 0.0000 0.0000 0.0000 1
B1 B 0.0000 0.0000 0.5000 1
C1 C 0.1922 0.2500 0.6250 1
```

Computed properties:
Fermi-level density of states ... 7.709 states/eV per cell
Magnetization ... 0.00 Bohr magnetons per cell
Final energy ... -6.86 eV per atom
Calculated volume ... 148.2 Å³ per cell
Polymorph energy (0 for the lowest one) ... 0.000 eV/atom
E_form ... 222 kJ/mol of formula units


3.
## GeBC3 (GGA-PBE)

Data for a relaxed structure of GeBC3.

CIF file:
```
data_GeBC3
_chemical_formula_sum 'Ge1 B1 C3'
_cell_length_a 3.5424
_cell_length_b 3.5424
_cell_length_c 3.5424
_cell_angle_alpha 90.00
_cell_angle_beta 90.00
_cell_angle_gamma 90.00
_symmetry_space_group_name_H-M 'P m -3 m'
_symmetry_Int_Tables_number 221
_symmetry_space_group_name_Hall '-P 4 2 3'
loop_
_atom_site_label
_atom_site_type_symbol
_atom_site_fract_x
_atom_site_fract_y
_atom_site_fract_z
_atom_site_occupancy
Ge1 Ge 0.0000 0.0000 0.0000 1
B1 B 0.5000 0.5000 0.5000 1
C1 C 0.0000 0.5000 0.5000 1
```

Computed properties:
Fermi-level density of states ... 1.582 states/eV per cell
Magnetization ... 0.00 Bohr magnetons per cell
Final energy ... -5.36 eV per atom
Calculated volume ... 44.5 Å³ per cell
Polymorph energy (0 for the lowest one) ... 0.000 eV/atom
E_form ... 1174 kJ/mol of formula units


4.
## GeBC3 (GGA-PBE)

Data for a relaxed structure of GeBC3.

CIF file:
```
data_GeBC3
_chemical_formula_sum 'Ge1 B1 C3'
_cell_length_a 3.9257
_cell_length_b 3.9257
_cell_length_c 3.9257
_cell_angle_alpha 90.00
_cell_angle_beta 90.00
_cell_angle_gamma 90.00
_symmetry_space_group_name_H-M 'P m -3 m'
_symmetry_Int_Tables_number 221
_symmetry_space_group_name_Hall '-P 4 2 3'
loop_
_atom_site_label
_atom_site_type_symbol
_atom_site_fract_x
_atom_site_fract_y
_atom_site_fract_z
_atom_site_occupancy
Ge1 Ge 0.0000 0.0000 0.0000 1
B1 B 0.5000 0.5000 0.5000 1
C1 C 0.0000 0.0000 0.5000 1
```

Computed properties:
Fermi-level density of states ... 5.155 states/eV per cell
Magnetization ... 0.00 Bohr magnetons per cell
Final energy ... -4.30 eV per atom
Calculated volume ... 60.5 Å³ per cell
Polymorph energy (0 for the lowest one) ... 1.060 eV/atom
E_form ... 1686 kJ/mol of formula units


5.
## NiGe2BC (GGA-PBE)

Data for a relaxed structure of NiGe2BC.

CIF file:
```
data_NiGe2BC
_chemical_formula_sum 'Ni1 Ge2 B1 C1'
_cell_length_a 4.5200
_cell_length_b 4.5200
_cell_length_c 3.6394
_cell_angle_alpha 90.00
_cell_angle_beta 90.00
_cell_angle_gamma 90.00
_symmetry_space_group_name_H-M 'P 4/m m m'
_symmetry_Int_Tables_number 123
_symmetry_space_group_name_Hall '-P 4 2'
loop_
_atom_site_label
_atom_site_type_symbol
_atom_site_fract_x
_atom_site_fract_y
_atom_site_fract_z
_atom_site_occupancy
Ni1 Ni 0.0000 0.0000 0.0000 1
Ge1 Ge 0.0000 0.5000 0.0000 1
B1 B 0.0000 0.0000 0.5000 1
C1 C 0.5000 0.5000 0.5000 1
```

Computed properties:
Fermi-level density of states ... 2.470 states/eV per cell
Magnetization ... 0.00 Bohr magnetons per cell
Final energy ... -4.70 eV per atom
Calculated volume ... 74.4 Å³ per cell
E_form ... 717 kJ/mol of formula units


6.
## Ge2BRhC (GGA-PBE)

Data for a relaxed structure of Ge2BRhC.

CIF file:
```
data_Ge2BRhC
_chemical_formula_sum 'Ge2 B1 Rh1 C1'
_cell_length_a 4.2359
_cell_length_b 4.2359
_cell_length_c 4.0743
_cell_angle_alpha 90.00
_cell_angle_beta 90.00
_cell_angle_gamma 90.00
_symmetry_space_group_name_H-M 'P 4/m m m'
_symmetry_Int_Tables_number 123
_symmetry_space_group_name_Hall '-P 4 2'
loop_
_atom_site_label
_atom_site_type_symbol
_atom_site_fract_x
_atom_site_fract_y
_atom_site_fract_z
_atom_site_occupancy
Ge1 Ge 0.0000 0.5000 0.0000 1
B1 B 0.0000 0.0000 0.0000 1
Rh1 Rh 0.0000 0.0000 0.5000 1
C1 C 0.5000 0.5000 0.5000 1
```

Computed properties:
Fermi-level density of states ... 1.884 states/eV per cell
Magnetization ... 0.00 Bohr magnetons per cell
Final energy ... -5.01 eV per atom
Calculated volume ... 73.1 Å³ per cell
E_form ... 717 kJ/mol of formula units


7.
## ScGe2BC (GGA-PBE)

Data for a relaxed structure of ScGe2BC.

CIF file:
```
data_ScGe2BC
_chemical_formula_sum 'Sc1 Ge2 B1 C1'
_cell_length_a 5.1406
_cell_length_b 5.1406
_cell_length_c 4.1586
_cell_angle_alpha 90.00
_cell_angle_beta 90.00
_cell_angle_gamma 90.00
_symmetry_space_group_name_H-M 'P 4/m m m'
_symmetry_Int_Tables_number 123
_symmetry_space_group_name_Hall '-P 4 2'
loop_
_atom_site_label
_atom_site_type_symbol
_atom_site_fract_x
_atom_site_fract_y
_atom_site_fract_z
_atom_site_occupancy
Sc1 Sc 0.0000 0.0000 0.0000 1
Ge1 Ge 0.0000 0.5000 0.0000 1
B1 B 0.5000 0.5000 0.5000 1
C1 C 0.0000 0.0000 0.5000 1
```

Computed properties:
Fermi-level density of states ... 3.705 states/eV per cell
Magnetization ... 0.00 Bohr magnetons per cell
Final energy ... -4.33 eV per atom
Calculated volume ... 109.9 Å³ per cell
E_form ... 947 kJ/mol of formula units


8.
## ScGeBC2 (GGA-PBE)

Data for a relaxed structure of ScGeBC2.

CIF file:
```
data_ScGeBC2
_chemical_formula_sum 'Sc1 Ge1 B1 C2'
_cell_length_a 4.2228
_cell_length_b 4.2228
_cell_length_c 4.4317
_cell_angle_alpha 90.00
_cell_angle_beta 90.00
_cell_angle_gamma 90.00
_symmetry_space_group_name_H-M 'P 4/m m m'
_symmetry_Int_Tables_number 123
_symmetry_space_group_name_Hall '-P 4 2'
loop_
_atom_site_label
_atom_site_type_symbol
_atom_site_fract_x
_atom_site_fract_y
_atom_site_fract_z
_atom_site_occupancy
Sc1 Sc 0.0000 0.0000 0.0000 1
Ge1 Ge 0.5000 0.5000 0.5000 1
B1 B 0.0000 0.0000 0.5000 1
C1 C 0.0000 0.5000 0.0000 1
```

Computed properties:
Fermi-level density of states ... 2.436 states/eV per cell
Magnetization ... 0.00 Bohr magnetons per cell
Final energy ... -5.02 eV per atom
Calculated volume ... 79.0 Å³ per cell
E_form ... 1061 kJ/mol of formula units


9.
## SiGeBC2 (GGA-PBE)

Data for a relaxed structure of SiGeBC2.

CIF file:
```
data_SiGeBC2
_chemical_formula_sum 'Si1 Ge1 B1 C2'
_cell_length_a 3.4218
_cell_length_b 3.4218
_cell_length_c 4.8591
_cell_angle_alpha 90.00
_cell_angle_beta 90.00
_cell_angle_gamma 90.00
_symmetry_space_group_name_H-M 'P 4/m m m'
_symmetry_Int_Tables_number 123
_symmetry_space_group_name_Hall '-P 4 2'
loop_
_atom_site_label
_atom_site_type_symbol
_atom_site_fract_x
_atom_site_fract_y
_atom_site_fract_z
_atom_site_occupancy
Si1 Si 0.0000 0.0000 0.0000 1
Ge1 Ge 0.5000 0.5000 0.0000 1
B1 B 0.0000 0.0000 0.5000 1
C1 C 0.0000 0.5000 0.5000 1
```

Computed properties:
Fermi-level density of states ... 1.745 states/eV per cell
Energy relative to the elements, uncorrected ... 1.783 eV per atom
Magnetization ... 0.00 Bohr magnetons per cell
Final energy ... -5.25 eV per atom
Calculated volume ... 56.9 Å³ per cell


10.
## Tc2GeBC (GGA-PBE)

Data for a relaxed structure of Tc2GeBC.

CIF file:
```
data_Tc2GeBC
_chemical_formula_sum 'Tc2 Ge1 B1 C1'
_cell_length_a 4.1699
_cell_length_b 4.1699
_cell_length_c 3.6936
_cell_angle_alpha 90.00
_cell_angle_beta 90.00
_cell_angle_gamma 90.00
_symmetry_space_group_name_H-M 'P 4/m m m'
_symmetry_Int_Tables_number 123
_symmetry_space_group_name_Hall '-P 4 2'
loop_
_atom_site_label
_atom_site_type_symbol
_atom_site_fract_x
_atom_site_fract_y
_atom_site_fract_z
_atom_site_occupancy
Tc1 Tc 0.0000 0.5000 0.0000 1
Ge1 Ge 0.0000 0.0000 0.5000 1
B1 B 0.0000 0.0000 0.0000 1
C1 C 0.5000 0.5000 0.5000 1
```

Computed properties:
Fermi-level density of states ... 3.545 states/eV per cell
Magnetization ... 0.00 Bohr magnetons per cell
Final energy ... -6.76 eV per atom
Calculated volume ... 64.2 Å³ per cell
E_form ... 717 kJ/mol of formula units


11.
## TlGeBC2 (GGA-PBE)

Data for a relaxed structure of TlGeBC2.

CIF file:
```
data_TlGeBC2
_chemical_formula_sum 'Tl1 Ge1 B1 C2'
_cell_length_a 4.4868
_cell_length_b 4.4868
_cell_length_c 4.4911
_cell_angle_alpha 90.00
_cell_angle_beta 90.00
_cell_angle_gamma 90.00
_symmetry_space_group_name_H-M 'P 4/m m m'
_symmetry_Int_Tables_number 123
_symmetry_space_group_name_Hall '-P 4 2'
loop_
_atom_site_label
_atom_site_type_symbol
_atom_site_fract_x
_atom_site_fract_y
_atom_site_fract_z
_atom_site_occupancy
Tl1 Tl 0.0000 0.0000 0.0000 1
Ge1 Ge 0.5000 0.5000 0.5000 1
B1 B 0.0000 0.0000 0.5000 1
C1 C 0.0000 0.5000 0.0000 1
```

Computed properties:
Fermi-level density of states ... 4.062 states/eV per cell
Magnetization ... 0.81 Bohr magnetons per cell
Final energy ... -3.26 eV per atom
Calculated volume ... 90.4 Å³ per cell
E_form ... 1527 kJ/mol of formula units


12.
## KB11H13C2NO (GGA-PBE)

Data for a relaxed structure of KB11H13C2NO.

CIF file:
```
data_KB11H13C2NO
_chemical_formula_sum 'K4 B44 H52 C8 N4 O4'
_cell_length_a 10.9507
_cell_length_b 9.6543
_cell_length_c 11.8975
_cell_angle_alpha 90.00
_cell_angle_beta 99.70
_cell_angle_gamma 90.00
_symmetry_space_group_name_H-M 'C 1 2/m 1'
_symmetry_Int_Tables_number 12
loop_
_symmetry_equiv_pos_as_xyz
'x,y,z'
'-x,-y,-z'
'-x,y,-z'
'x,-y,z'
'x+1/2,y+1/2,z'
'-x+1/2,-y+1/2,-z'
'-x+1/2,y+1/2,-z'
'x+1/2,-y+1/2,z'
loop_
_atom_site_label
_atom_site_type_symbol
_atom_site_fract_x
_atom_site_fract_y
_atom_site_fract_z
_atom_site_occupancy
K1 K 0.2447 0.0000 0.3384 1
B1 B 0.0664 0.5000 0.2394 1
B2 B 0.1220 0.0000 0.6985 1
B3 B 0.1466 0.5000 0.3827 1
B4 B 0.1507 0.3507 0.2962 1
B5 B 0.1576 0.4074 0.1557 1
B6 B 0.2062 0.1496 0.7535 1
B7 B 0.2121 0.0925 0.6134 1
H1 H 0.0120 0.0000 0.6892 1
H2 H 0.0414 0.0000 0.9060 1
H3 H 0.0443 0.5000 0.7854 1
H4 H 0.0906 0.5000 0.4612 1
H5 H 0.0989 0.2451 0.3121 1
H6 H 0.1220 0.3460 0.0694 1
H7 H 0.1506 0.2468 0.7808 1
H8 H 0.1631 0.1583 0.5329 1
H9 H 0.2078 0.5000 0.9487 1
C1 C 0.1899 0.0000 0.0359 1
C2 C 0.2067 0.0000 0.8330 1
N1 N 0.1377 0.0000 0.9256 1
O1 O 0.1302 0.0000 0.1170 1
```

Computed properties:
Fermi-level density of states ... 0.000 states/eV per cell
Magnetization ... 0.00 Bohr magnetons per cell
Final energy ... -5.49 eV per atom
Calculated volume ... 1239.9 Å³ per cell


Please write out number 10 again, unchanged.
## Tc2GeBC (GGA-PBE)

Data for a relaxed structure of Tc2GeBC.

CIF file:
```
data_Tc2GeBC
_chemical_formula_sum 'Tc2 Ge1 B1 C1'
_cell_length_a 4.1699
_cell_length_b 4.1699
_cell_length_c 3.6936
_cell_angle_alpha 90.00
_cell_angle_beta 90.00
_cell_angle_gamma 90.00
_symmetry_space_group_name_H-M 'P 4/m m m'
_symmetry_Int_Tables_number 123
_symmetry_space_group_name_Hall '-P 4 2'
loop_
_atom_site_label
_atom_site_type_symbol
_atom_site_fract_x
_atom_site_fract_y
_atom_site_fract_z
_atom_site_occupancy
Tc1 Tc 0.0000 0.5000 0.0000 1
Ge1 Ge 0.0000 0.0000 0.5000 1
B1 B 0.0000 0.0000 0.0000 1
C1 C 0.5000 0.5000 0.5000 1
```

Computed properties:
Fermi-level density of states ... 3.545 states/eV per cell
Magnetization ... 0.00 Bohr magnetons per cell
Final energy ... -6.76 eV per atom
Calculated volume ... 64.2 Å³ per cell
E_form ... 717 kJ/mol of formula units